Entry 1:
First-principles (GGA-PBE) data for a geometry-optimized CaPd12 structure, as listed in Alexandria via LeMat-Bulk.

It has space group Fm-3m (No. 225), with a = 10.734 Å, b = 10.734 Å, c = 10.734 Å, α = 90.00°, β = 90.00° and γ = 90.00°. The inequivalent atoms are Ca at (0.000, 0.000, 0.000) and Pd at (0.000, 0.169, 0.331).

The density of states at the Fermi level comes out at 1.219 states/eV per atom. The formation energy comes out at 7.87 eV/f.u. The total energy is -4.342 eV per atom.


Entry 2:
First-principles (GGA-PBE) data for a geometry-optimized DyZr2Ru3 structure, as listed in Alexandria via LeMat-Bulk.

It has space group P4/mmm (No. 123), with a = 3.307 Å, b = 3.307 Å, c = 10.024 Å, α = 90.00°, β = 90.00° and γ = 90.00°. The inequivalent atoms are Dy at (0.000, 0.000, 0.000), Zr at (0.000, 0.000, 0.335), Ru at (0.500, 0.500, 0.182) and Ru at (0.500, 0.500, 0.500).

The density of states at the Fermi level comes out at 0.156 states/eV per atom. The formation energy comes out at -3.46 eV/f.u. The total energy is -8.831 eV per atom.


Entry 3:
First-principles (GGA-PBE) data for a geometry-optimized InReAg3 structure, as listed in Alexandria via LeMat-Bulk.

It has space group Pm-3m (No. 221), with a = 5.174 Å, b = 5.174 Å, c = 5.174 Å, α = 90.00°, β = 90.00° and γ = 90.00°. The inequivalent atoms are In at (0.000, 0.000, 0.000), Re at (0.500, 0.500, 0.500) and Ag at (0.000, 0.500, 0.500).

The density of states at the Fermi level comes out at 0.811 states/eV per atom. The formation energy comes out at 7.12 eV/f.u. The total energy is -3.324 eV per atom.


Entry 4:
First-principles (GGA-PBE) data for a geometry-optimized MnInSi2 structure, as listed in Alexandria via LeMat-Bulk.

It has space group R-3m (No. 166, hexagonal axes), with a = 3.0281 Å, b = 3.0281 Å, c = 24.4423 Å, α = 90.00°, β = 90.00° and γ = 120.00°. The inequivalent atoms are Mn at (0.0000, 0.0000, 0.0000), In at (0.0000, 0.0000, 0.5000) and Si at (0.0000, 0.0000, 0.2688).

The formation energy without anion corrections comes out at 0.21 eV/atom. The density of states at the Fermi level comes out at 0.777 states/eV per atom. The total energy is -5.477 eV per atom.


Entry 5:
First-principles (GGA-PBE) data for a geometry-optimized CuSiPt structure, as listed in Alexandria via LeMat-Bulk.

It has space group I4mm (No. 107), with a = 3.210 Å, b = 3.210 Å, c = 7.919 Å, α = 90.00°, β = 90.00° and γ = 90.00°. The inequivalent atoms are Cu at (0.000, 0.000, 0.000), Si at (0.000, 0.000, 0.665) and Pt at (0.000, 0.000, 0.324).

The formation energy without anion corrections comes out at -0.31 eV/atom. The density of states at the Fermi level comes out at 0.370 states/eV per atom. The total energy is -5.495 eV per atom.


Entry 6:
First-principles (GGA-PBE) data for a geometry-optimized SrAcGdHo structure, as listed in Alexandria via LeMat-Bulk.

It has space group F-43m (No. 216), with a = 8.558 Å, b = 8.558 Å, c = 8.558 Å, α = 90.00°, β = 90.00° and γ = 90.00°. The inequivalent atoms are Sr at (0.000, 0.000, 0.000), Ac at (0.250, 0.250, 0.750), Gd at (0.250, 0.250, 0.250) and Ho at (0.000, 0.000, 0.500).

The density of states at the Fermi level comes out at 1.760 states/eV per atom. The formation energy comes out at 0.78 eV/f.u. The total energy is -5.916 eV per atom.


Entry 7:
First-principles (GGA-PBE) data for a geometry-optimized Pr3Th5P8 structure, as listed in Alexandria via LeMat-Bulk.

It has space group R-3m (No. 166, hexagonal axes), with a = 8.3287 Å, b = 8.3287 Å, c = 20.3892 Å, α = 90.00°, β = 90.00° and γ = 120.00°. The inequivalent atoms are Pr at (0.0000, 0.5000, 0.0000), Th at (0.0000, 0.0000, 0.0000), Th at (0.0000, 0.0000, 0.5000), Th at (0.0000, 0.5000, 0.5000), P at (0.0000, 0.0000, 0.2475) and P at (0.0028, 0.5014, 0.7514).

The density of states at the Fermi level comes out at 0.483 states/eV per atom. The formation energy comes out at -24.88 eV/f.u. The total energy is -7.475 eV per atom.


Entry 8:
First-principles (GGA-PBE) data for a geometry-optimized SnAsSCl2 structure, as listed in Alexandria via LeMat-Bulk.

It has space group P4/mmm (No. 123), with a = 5.171 Å, b = 5.171 Å, c = 5.275 Å, α = 90.00°, β = 90.00° and γ = 90.00°. The inequivalent atoms are Sn at (0.000, 0.000, 0.000), As at (0.500, 0.500, 0.500), S at (0.000, 0.000, 0.500) and Cl at (0.000, 0.500, 0.000).

The formation energy without anion corrections comes out at 0.17 eV/atom. The density of states at the Fermi level comes out at 0.373 states/eV per atom. The total energy is -3.129 eV per atom.